(1)
4
Lattice="3.909 -1.560 0.000 3.909 1.560 0.000 -1.364 0.000 7.680" Properties=species:S:1:pos:R:3 comment="TlRe, relaxed, DFT PBE" rho_g_cm3=13.843 polymorph_energy_mev_per_atom=327 final_energy_ry_per_atom=-0.485 e_form_ev_per_atom=0.81 pbc="T T T"
Tl 0.478 0.000 2.543
Tl 5.977 0.000 5.137
Re 2.770 0.000 0.474
Re 3.684 0.000 7.206



(2)
4
Lattice="1.494 0.862 10.202 -1.494 0.862 10.202 0.000 -1.725 10.202" Properties=species:S:1:pos:R:3 comment="TlRe, relaxed, DFT PBE" rho_g_cm3=16.449 polymorph_energy_mev_per_atom=147 final_energy_ry_per_atom=-0.498 e_form_ev_per_atom=0.63 pbc="T T T"
Tl 0.000 0.000 3.593
Tl 0.000 0.000 27.013
Re 0.000 0.000 11.192
Re 0.000 0.000 19.414



(3)
4
Lattice="4.764 0.000 0.000 -2.382 4.125 0.000 0.000 0.000 5.486" Properties=species:S:1:pos:R:3 comment="TlRe, relaxed, DFT PBE" rho_g_cm3=12.033 polymorph_energy_mev_per_atom=1748 final_energy_ry_per_atom=-0.380 e_form_ev_per_atom=2.23 pbc="T T T"
Tl 0.000 2.750 1.371
Tl 2.382 1.375 4.114
Re 0.000 2.750 4.114
Re 2.382 1.375 1.371



(4)
2
Lattice="3.332 0.000 0.000 0.000 3.332 0.000 0.000 0.000 3.332" Properties=species:S:1:pos:R:3 comment="TlRe, relaxed, DFT PBE" rho_g_cm3=17.527 polymorph_energy_mev_per_atom=945 final_energy_ry_per_atom=-0.439 e_form_ev_per_atom=1.43 pbc="T T T"
Tl 0.000 0.000 0.000
Re 1.666 1.666 1.666



(5)
4
Lattice="2.892 0.000 0.000 -1.446 2.505 0.000 0.000 0.000 9.219" Properties=species:S:1:pos:R:3 comment="TlRe3, relaxed, DFT PBE" rho_g_cm3=18.972 polymorph_energy_mev_per_atom=0 final_energy_ry_per_atom=-0.691 e_form_ev_per_atom=0.53 pbc="T T T"
Tl 0.000 0.000 0.000
Re 0.000 0.000 4.609
Re 0.000 1.670 2.499
Re 0.000 1.670 6.719



(6)
6
Lattice="6.560 -1.499 0.000 6.560 1.499 0.000 -2.987 0.000 6.540" Properties=species:S:1:pos:R:3 comment="TlRe, relaxed, DFT PBE" rho_g_cm3=15.129 polymorph_energy_mev_per_atom=289 final_energy_ry_per_atom=-0.488 e_form_ev_per_atom=0.77 pbc="T T T"
Tl 0.000 0.000 0.000
Tl -0.957 0.000 3.422
Tl 3.284 0.000 0.447
Re 3.057 0.000 3.496
Re 7.978 0.000 2.146
Re 7.934 0.000 4.738



(7)
4
Lattice="2.765 -4.084 0.000 2.765 4.084 0.000 0.000 0.000 2.921" Properties=species:S:1:pos:R:3 comment="TlRe3, relaxed, DFT PBE" rho_g_cm3=19.201 polymorph_energy_mev_per_atom=420 final_energy_ry_per_atom=-0.660 e_form_ev_per_atom=0.95 pbc="T T T"
Tl 0.000 0.000 0.000
Re 1.383 2.042 1.461
Re 1.383 -2.042 1.461
Re 2.765 0.000 0.000



(8)
12
Lattice="7.646 0.000 0.000 0.000 7.646 0.000 0.000 0.000 7.646" Properties=species:S:1:pos:R:3 comment="TlRe, relaxed, DFT PBE" rho_g_cm3=8.705 polymorph_energy_mev_per_atom=2165 final_energy_ry_per_atom=-0.350 e_form_ev_per_atom=2.65 pbc="T T T"
Tl 0.000 1.912 3.823
Tl 0.000 5.735 3.823
Tl 1.912 3.823 0.000
Tl 3.823 0.000 1.912
Tl 3.823 0.000 5.735
Tl 5.735 3.823 0.000
Re 0.000 3.823 1.912
Re 0.000 3.823 5.735
Re 1.912 0.000 3.823
Re 3.823 1.912 0.000
Re 3.823 5.735 0.000
Re 5.735 0.000 3.823



(9)
2
Lattice="0.000 2.806 2.806 2.806 0.000 2.806 2.806 2.806 0.000" Properties=species:S:1:pos:R:3 comment="TlRe, relaxed, DFT PBE" rho_g_cm3=14.685 polymorph_energy_mev_per_atom=1458 final_energy_ry_per_atom=-0.402 e_form_ev_per_atom=1.94 pbc="T T T"
Tl 0.000 0.000 0.000
Re 2.806 2.806 2.806



(10)
8
Lattice="-4.120 4.120 2.450 4.120 -4.120 2.450 4.120 4.120 -2.450" Properties=species:S:1:pos:R:3 comment="TlRe, relaxed, DFT PBE" rho_g_cm3=15.591 polymorph_energy_mev_per_atom=374 final_energy_ry_per_atom=-0.481 e_form_ev_per_atom=0.86 pbc="T T T"
Tl 2.352 0.000 0.000
Tl 5.889 0.000 0.000
Tl 0.000 2.352 0.000
Tl 0.000 5.889 0.000
Re 2.887 2.887 0.000
Re 1.233 -1.233 2.450
Re -1.233 1.233 2.450
Re 1.233 1.233 2.450



(11)
16
Lattice="4.895 0.000 0.000 0.542 7.060 0.000 1.904 1.776 10.037" Properties=species:S:1:pos:R:3 comment="Tl3Re5, relaxed, DFT PBE" rho_g_cm3=14.785 polymorph_energy_mev_per_atom=0 final_energy_ry_per_atom=-0.593 e_form_ev_per_atom=0.59 pbc="T T T"
Tl 1.010 2.992 1.932
Tl 1.702 5.880 0.128
Tl 3.200 3.430 7.463
Tl 4.141 5.406 2.574
Tl 5.640 2.956 9.909
Tl 6.331 5.844 8.105
Re 1.864 5.507 4.559
Re 1.702 7.133 2.700
Re 2.169 1.014 5.284
Re 4.001 7.486 7.411
Re 3.181 3.193 4.341
Re 4.160 5.642 5.696
Re 3.341 1.350 2.626
Re 5.172 7.822 4.753
Re 5.639 1.703 7.337
Re 5.477 3.329 5.478



(12)
4
Lattice="2.878 0.000 0.000 0.000 2.878 0.000 0.000 0.000 8.124" Properties=species:S:1:pos:R:3 comment="TlRe3, relaxed, DFT PBE" rho_g_cm3=18.834 polymorph_energy_mev_per_atom=61 final_energy_ry_per_atom=-0.686 e_form_ev_per_atom=0.59 pbc="T T T"
Tl 0.000 0.000 0.000
Re 0.000 0.000 4.062
Re 1.439 1.439 2.276
Re 1.439 1.439 5.848



(13)
12
Lattice="8.248 0.000 0.000 -4.124 7.143 0.000 0.000 0.000 4.486" Properties=species:S:1:pos:R:3 comment="TlRe, relaxed, DFT PBE" rho_g_cm3=14.722 polymorph_energy_mev_per_atom=322 final_energy_ry_per_atom=-0.485 e_form_ev_per_atom=0.81 pbc="T T T"
Tl 0.000 2.653 1.122
Tl -1.826 5.817 1.122
Tl 2.298 1.327 3.365
Tl 1.826 5.817 1.122
Tl 5.950 1.327 3.365
Tl 4.124 4.490 3.365
Re -1.317 4.002 3.365
Re 1.317 4.002 3.365
Re 0.000 6.283 3.365
Re 4.124 0.860 1.122
Re 2.807 3.141 1.122
Re 5.441 3.141 1.122



(14)
12
Lattice="5.074 0.000 0.000 0.000 10.442 0.000 0.000 0.000 5.654" Properties=species:S:1:pos:R:3 comment="TlRe, relaxed, DFT PBE" rho_g_cm3=12.991 polymorph_energy_mev_per_atom=569 final_energy_ry_per_atom=-0.467 e_form_ev_per_atom=1.05 pbc="T T T"
Tl 1.268 0.830 0.392
Tl 1.268 4.392 0.392
Tl 1.268 7.832 3.463
Tl 3.805 2.611 2.190
Tl 3.805 6.051 5.262
Tl 3.805 9.613 5.262
Re 1.268 0.320 3.327
Re 1.268 2.611 2.622
Re 1.268 4.901 3.327
Re 3.805 5.541 2.327
Re 3.805 7.832 3.032
Re 3.805 10.122 2.327



(15)
4
Lattice="4.556 2.631 0.928 -4.556 2.631 0.928 0.000 -5.261 0.928" Properties=species:S:1:pos:R:3 comment="TlRe3, relaxed, DFT PBE" rho_g_cm3=18.991 polymorph_energy_mev_per_atom=540 final_energy_ry_per_atom=-0.651 e_form_ev_per_atom=1.07 pbc="T T T"
Tl 0.000 0.000 0.000
Re -2.278 -1.315 0.928
Re -2.278 1.315 1.855
Re 0.000 2.631 0.928



(16)
6
Lattice="1.529 -12.739 0.000 1.529 12.739 0.000 0.000 0.000 4.800" Properties=species:S:1:pos:R:3 comment="Tl5Re, relaxed, DFT PBE" rho_g_cm3=10.726 polymorph_energy_mev_per_atom=0 final_energy_ry_per_atom=-0.261 e_form_ev_per_atom=0.49 pbc="T T T"
Tl 0.000 0.000 0.000
Tl 1.529 10.177 2.400
Tl 1.529 4.744 0.000
Tl 1.529 -4.744 0.000
Tl 1.529 -10.177 2.400
Re 1.529 0.000 2.400



(17)
2
Lattice="0.000 3.137 3.137 3.137 0.000 3.137 3.137 3.137 0.000" Properties=species:S:1:pos:R:3 comment="TlRe, relaxed, DFT PBE" rho_g_cm3=10.504 polymorph_energy_mev_per_atom=2120 final_energy_ry_per_atom=-0.353 e_form_ev_per_atom=2.60 pbc="T T T"
Tl 0.000 0.000 0.000
Re 1.569 1.569 1.569



(18)
2
Lattice="2.930 0.000 0.000 0.000 2.930 0.000 0.000 0.000 4.394" Properties=species:S:1:pos:R:3 comment="TlRe, relaxed, DFT PBE" rho_g_cm3=17.188 polymorph_energy_mev_per_atom=981 final_energy_ry_per_atom=-0.437 e_form_ev_per_atom=1.46 pbc="T T T"
Tl 0.000 0.000 0.000
Re 1.465 1.465 2.197



(19)
4
Lattice="2.964 0.000 0.000 0.000 4.488 0.000 0.000 0.000 4.997" Properties=species:S:1:pos:R:3 comment="TlRe3, relaxed, DFT PBE" rho_g_cm3=19.064 polymorph_energy_mev_per_atom=238 final_energy_ry_per_atom=-0.673 e_form_ev_per_atom=0.77 pbc="T T T"
Tl 0.000 0.000 0.000
Re 0.000 2.244 3.302
Re 1.482 0.000 2.462
Re 1.482 2.244 1.044



(20)
4
Lattice="0.000 3.210 3.210 3.210 0.000 3.210 3.210 3.210 0.000" Properties=species:S:1:pos:R:3 comment="TlRe3, relaxed, DFT PBE" rho_g_cm3=19.149 polymorph_energy_mev_per_atom=450 final_energy_ry_per_atom=-0.658 e_form_ev_per_atom=0.98 pbc="T T T"
Tl 0.000 0.000 0.000
Re 1.605 1.605 1.605
Re 3.210 3.210 3.210
Re 4.815 4.815 4.815



(21)
8
Lattice="5.330 0.000 0.000 0.000 5.330 0.000 0.000 0.000 5.330" Properties=species:S:1:pos:R:3 comment="TlRe, relaxed, DFT PBE" rho_g_cm3=17.136 polymorph_energy_mev_per_atom=861 final_energy_ry_per_atom=-0.446 e_form_ev_per_atom=1.35 pbc="T T T"
Tl 0.515 0.515 0.515
Tl 2.150 4.815 3.180
Tl 3.180 2.150 4.815
Tl 4.815 3.180 2.150
Re 0.585 3.250 4.744
Re 2.080 2.080 2.080
Re 3.250 4.744 0.585
Re 4.744 0.585 3.250



(22)
8
Lattice="-4.259 4.259 4.259 4.259 -4.259 4.259 4.259 4.259 -4.259" Properties=species:S:1:pos:R:3 comment="TlRe, relaxed, DFT PBE" rho_g_cm3=8.393 polymorph_energy_mev_per_atom=965 final_energy_ry_per_atom=-0.438 e_form_ev_per_atom=1.45 pbc="T T T"
Tl 1.801 1.801 -1.801
Tl 1.801 -1.801 1.801
Tl -1.801 1.801 1.801
Tl 2.459 2.459 2.459
Re 3.386 3.386 -3.386
Re 3.386 -3.386 3.386
Re 0.873 0.873 0.873
Re -3.386 3.386 3.386



(23)
6
Lattice="4.608 -1.519 0.000 4.608 1.519 0.000 -3.115 0.000 9.906" Properties=species:S:1:pos:R:3 comment="TlRe, relaxed, DFT PBE" rho_g_cm3=14.030 polymorph_energy_mev_per_atom=143 final_energy_ry_per_atom=-0.498 e_form_ev_per_atom=0.63 pbc="T T T"
Tl 0.000 0.000 0.000
Tl 2.423 0.000 2.315
Tl 3.678 0.000 7.591
Re -1.557 0.000 4.953
Re 1.140 0.000 5.897
Re 4.961 0.000 4.009



(24)
16
Lattice="10.816 0.000 0.000 0.000 10.816 0.000 0.000 0.000 2.911" Properties=species:S:1:pos:R:3 comment="TlRe, relaxed, DFT PBE" rho_g_cm3=15.237 polymorph_energy_mev_per_atom=157 final_energy_ry_per_atom=-0.497 e_form_ev_per_atom=0.64 pbc="T T T"
Tl 1.423 8.981 0.000
Tl 1.835 1.423 0.000
Tl 3.569 3.915 1.456
Tl 3.915 7.247 1.456
Tl 6.901 3.569 1.456
Tl 7.247 6.901 1.456
Tl 8.981 9.393 0.000
Tl 9.393 1.835 0.000
Re 0.260 4.155 1.456
Re 1.772 5.787 0.000
Re 4.155 10.555 1.456
Re 5.029 1.772 0.000
Re 5.787 9.044 0.000
Re 6.661 0.260 1.456
Re 9.044 5.029 0.000
Re 10.555 6.661 1.456



(25)
7
Lattice="-1.516 1.516 15.081 1.516 -1.516 15.081 1.516 1.516 -15.081" Properties=species:S:1:pos:R:3 comment="Tl3Re4, relaxed, DFT PBE" rho_g_cm3=16.258 final_energy_ry_per_atom=-0.558 e_form_ev_per_atom=0.54 pbc="T T T"
Tl 0.000 0.000 0.000
Tl 0.000 0.000 9.070
Tl 0.000 0.000 21.091
Re 0.000 0.000 3.699
Re 0.000 0.000 12.795
Re 0.000 0.000 17.366
Re 0.000 0.000 26.463



(26)
4
Lattice="3.072 0.000 0.000 0.000 3.072 0.000 0.000 0.000 8.965" Properties=species:S:1:pos:R:3 comment="TlRe, relaxed, DFT PBE" rho_g_cm3=15.330 polymorph_energy_mev_per_atom=23 final_energy_ry_per_atom=-0.507 e_form_ev_per_atom=0.51 pbc="T T T"
Tl 0.768 0.768 1.485
Tl 2.304 2.304 7.479
Re 0.768 0.768 5.162
Re 2.304 2.304 3.802